NaTaCo3 | PBE | relaxed

```
NaTaCo3
1.0
-3.709 -1.394 -2.288
-0.904 -3.026 3.310
-2.522 3.135 2.178
Ta Co Na
1 3 1
Direct
0.000 0.000 0.000 Ta
0.500 0.000 0.000 Co
0.000 0.000 0.500 Co
0.000 0.500 0.000 Co
0.500 0.500 0.500 Na
```

Space-group type: No. 221
Energy above the most stable polymorph in this dataset: 0.00 kcal/mol of atoms
Size of the total moment: 1.4 μB/f.u.

=====

Tb3RhSe2 | PBE | relaxed

```
Tb3RhSe2
1.0
-1.497 -3.732 -0.796
2.541 -0.335 -3.199
5.530 -1.498 7.174
Se Rh Tb
2 1 3
Direct
0.760 0.762 0.526 Se
0.108 0.110 0.222 Se
0.434 0.436 0.874 Rh
0.934 0.936 0.874 Tb
0.280 0.281 0.565 Tb
0.589 0.590 0.183 Tb
```

Space-group type: No. 139
Uncorrected formation energy: -1.41 eV/atom
Size of the total moment: 0.0 μB/f.u.

=====

Dy2ErSbN4 | PBE | relaxed

```
Dy2ErSbN4
1.0
-0.177 -0.176 -3.462
-0.886 -5.959 0.348
-5.320 2.814 0.128
Sb Dy N Er
1 2 4 1
Direct
0.000 0.000 0.000 Sb
0.500 0.000 0.500 Dy
0.000 0.500 0.500 Dy
0.000 0.257 0.746 N
0.500 0.737 0.739 N
0.500 0.263 0.261 N
0.000 0.743 0.254 N
0.500 0.500 0.000 Er
```

Space-group type: No. 10
Uncorrected formation energy: -1.08 eV/atom
Size of the total moment: 0.0 μB/f.u.

=====

TbTcB2 | PBE | relaxed

```
TbTcB2
1.0
-3.002 -0.961 1.315
-1.389 -2.771 -5.196
4.282 -8.634 3.461
Tc B Tb
4 8 4
Direct
0.750 0.376 0.062 Tc
0.750 0.876 0.438 Tc
0.250 0.624 0.938 Tc
0.250 0.124 0.562 Tc
0.750 0.467 0.826 B
0.250 0.232 0.187 B
0.250 0.732 0.313 B
0.250 0.533 0.174 B
0.250 0.033 0.326 B
0.750 0.268 0.687 B
0.750 0.768 0.813 B
0.750 0.967 0.674 B
0.750 0.389 0.362 Tb
0.250 0.111 0.862 Tb
0.750 0.889 0.138 Tb
0.250 0.611 0.638 Tb
```

Space-group type: No. 62
Energy above the most stable polymorph in this dataset: 3.49 kcal/mol of atoms
Size of the total moment: 0.0 μB/f.u.

=====

> The highest size of the total moment belongs to which entry?

NaTaCo3